Computed, not measured: a geometry-optimized LaPr10Sm4 structure at the PBE level of DFT.

Structure (CIF):
```
data_LaPr10Sm4
_space_group_name_H-M_alt 'I 4/m'
_space_group_IT_number 87
_space_group_name_Hall '-I 4'
_cell_length_a 12.9525
_cell_length_b 12.9525
_cell_length_c 6.9946
_cell_angle_alpha 90.00
_cell_angle_beta 90.00
_cell_angle_gamma 90.00
loop_
_atom_site_label
_atom_site_fract_x
_atom_site_fract_y
_atom_site_fract_z
La1 0.0000 0.0000 0.0000
Pr1 0.0000 0.5000 0.2500
Pr2 0.1289 0.2908 0.2465
Sm1 0.0670 0.8231 0.5000
```

energy relative to the elements: 0.4839 eV/atom
mass density: 6.1 g cm⁻³
uncorrected energy: -4.29 eV per atom
size of the total moment: 0.0 Bohr magnetons per cell
density of states at the Fermi level: 1.79 states/eV per atom


Computed, not measured: a geometry-optimized LaPrSm structure at the PBE level of DFT.

Structure (CIF):
```
data_LaPrSm
_space_group_name_H-M_alt 'I m m m'
_space_group_IT_number 71
_space_group_name_Hall '-I 2 2'
_cell_length_a 5.8335
_cell_length_b 7.1482
_cell_length_c 10.2141
_cell_angle_alpha 90.00
_cell_angle_beta 90.00
_cell_angle_gamma 90.00
loop_
_atom_site_label
_atom_site_fract_x
_atom_site_fract_y
_atom_site_fract_z
La1 0.0000 0.0000 0.1640
Pr1 0.0000 0.2453 0.5000
Sm1 0.0000 0.5000 0.1632
```

energy relative to the elements: 0.0516 eV/atom
mass density: 6.7 g cm⁻³
uncorrected energy: -4.76 eV per atom
size of the total moment: 0.0 Bohr magnetons per cell
density of states at the Fermi level: 1.46 states/eV per atom
E above lowest polymorph: 38 meV/atom


Computed, not measured: a geometry-optimized La2Pr7Sm structure at the PBE level of DFT.

Structure (CIF):
```
data_La2Pr7Sm
_space_group_name_H-M_alt 'C m m m'
_space_group_IT_number 65
_space_group_name_Hall '-C 2 2'
_cell_length_a 6.8916
_cell_length_b 29.8419
_cell_length_c 3.5439
_cell_angle_alpha 90.00
_cell_angle_beta 90.00
_cell_angle_gamma 90.00
loop_
_atom_site_label
_atom_site_fract_x
_atom_site_fract_y
_atom_site_fract_z
La1 0.0000 0.2035 0.0000
Pr1 0.0000 0.0000 0.0000
Pr2 0.0000 0.3102 0.5000
Pr3 0.2446 0.4011 0.0000
Sm1 0.0000 0.5000 0.5000
```

energy relative to the elements: 0.1360 eV/atom
mass density: 6.4 g cm⁻³
uncorrected energy: -4.67 eV per atom
size of the total moment: 0.0 Bohr magnetons per cell
density of states at the Fermi level: 1.63 states/eV per atom
E above lowest polymorph: 0 meV/atom


Computed, not measured: a geometry-optimized LaPrSm structure at the PBE level of DFT.

Structure (CIF):
```
data_LaPrSm
_space_group_name_H-M_alt 'P 3 m 1'
_space_group_IT_number 156
_space_group_name_Hall 'P 3 -2"'
_cell_length_a 3.6945
_cell_length_b 3.6945
_cell_length_c 9.0555
_cell_angle_alpha 90.00
_cell_angle_beta 90.00
_cell_angle_gamma 120.00
loop_
_atom_site_label
_atom_site_fract_x
_atom_site_fract_y
_atom_site_fract_z
La1 0.0000 0.0000 0.0000
Pr1 0.3333 0.6667 0.6598
Sm1 0.6667 0.3333 0.3314
```

energy relative to the elements: 0.0136 eV/atom
mass density: 6.7 g cm⁻³
uncorrected energy: -4.80 eV per atom
size of the total moment: 0.0 Bohr magnetons per cell
density of states at the Fermi level: 1.54 states/eV per atom
E above lowest polymorph: 0 meV/atom


Q: The highest energy relative to the elements belongs to which entry?
A: LaPr10Sm4


Q: Which of these has the lowest mass density?
A: LaPr10Sm4


Q: What is the energy relative to the elements in the second record?
A: 0.0516 eV/atom


Q: Which value of size of the total moment does entry 3 give?
A: 0.0 Bohr magnetons per cell